The following is a DFT calculation (GGA-PBE) of a geometry-optimized BeCuSbOs structure.

The structure belongs to space group F-43m (No. 216); the cell edges are 6.149, 6.149 and 6.149 Å and the angles 90.00°, 90.00° and 90.00°. Symmetry generates all atoms from Be at (0.000, 0.000, 0.000), Cu at (0.250, 0.250, 0.750), Sb at (0.000, 0.000, 0.500) and Os at (0.250, 0.250, 0.250).

For the energy above the most stable polymorph in this dataset, the calculation gives 0.00 kcal/mol of atoms. The final energy is -84.34 eV for the cell shown. The total moment is 0.02 Bohr magnetons per cell.